(1)
{"formula": "La4RuSI2", "functional": "PBE-GGA", "state": "relaxed", "formation_energy_uncorrected_ev_per_atom": -1.18, "spacegroup": "P2/m (10)", "lattice_angstrom": [[-0.574, 3.744, 1.766], [-3.945, 2.245, -6.042], [-5.531, -3.332, 5.262]], "species": ["I", "I", "La", "La", "La", "La", "Ru", "S"], "frac_coords": [[0.000, 0.500, 0.500], [0.500, 0.000, 0.500], [0.000, 0.717, 0.190], [0.500, 0.762, 0.810], [0.500, 0.238, 0.190], [0.000, 0.283, 0.810], [0.500, 0.500, 0.000], [0.000, 0.000, 0.000]]}

=====

(2)
{"formula": "LaSb2RuI", "functional": "PBE-GGA", "state": "relaxed", "formation_energy_uncorrected_ev_per_atom": 1.10, "spacegroup": "P4/mmm (123)", "relative_energy_kj_per_mol_atoms": 118.5, "lattice_angstrom": [[6.092, 0.000, 0.000], [0.000, 6.092, 0.000], [0.000, 0.000, 6.063]], "species": ["Sb", "Sb", "Ru", "La", "I"], "frac_coords": [[0.500, 0.000, 0.000], [0.000, 0.500, 0.000], [0.500, 0.500, 0.500], [0.000, 0.000, 0.000], [0.000, 0.000, 0.500]]}

=====

(3)
{"formula": "LaSb2RuI", "functional": "PBE-GGA", "state": "relaxed", "formation_energy_uncorrected_ev_per_atom": -0.13, "spacegroup": "P4/mmm (123)", "relative_energy_kj_per_mol_atoms": 0.0, "lattice_angstrom": [[-3.136, -2.107, -3.460], [3.560, -3.521, -1.082], [-2.102, -3.334, 3.935]], "species": ["Sb", "Sb", "Ru", "I", "La"], "frac_coords": [[0.000, 0.500, 0.000], [0.500, 0.000, 0.000], [0.000, 0.000, 0.000], [0.000, 0.000, 0.500], [0.500, 0.500, 0.500]]}

=====

(4)
{"formula": "La6Ru2SeI3", "functional": "PBE-GGA", "state": "relaxed", "formation_energy_uncorrected_ev_per_atom": -1.05, "spacegroup": "C2/m (12)", "lattice_angstrom": [[7.456, 0.004, 0.002], [-3.723, 6.460, 0.002], [-1.243, -2.152, 8.142]], "species": ["La", "La", "La", "La", "La", "La", "Ru", "Ru", "I", "I", "I", "Se"], "frac_coords": [[0.581, 0.937, 0.810], [0.937, 0.581, 0.810], [0.063, 0.419, 0.190], [0.707, 0.707, 0.190], [0.293, 0.293, 0.810], [0.419, 0.063, 0.190], [0.333, 0.667, 0.000], [0.667, 0.333, 0.000], [0.500, 0.500, 0.500], [0.163, 0.837, 0.500], [0.837, 0.163, 0.500], [0.000, 0.000, 0.000]]}

=====

(5)
{"formula": "La8Ru3SeI4", "functional": "PBE-GGA", "state": "relaxed", "formation_energy_uncorrected_ev_per_atom": -0.97, "spacegroup": "R-3m (166)", "lattice_angstrom": [[-1.023, -8.253, 2.215], [4.165, 1.740, 8.407], [-6.858, 4.800, -2.001]], "species": ["La", "La", "La", "La", "La", "La", "La", "La", "I", "I", "I", "I", "Se", "Ru", "Ru", "Ru"], "frac_coords": [[0.731, 0.693, 0.462], [0.761, 0.315, 0.054], [0.239, 0.685, 0.946], [0.294, 0.315, 0.054], [0.269, 0.307, 0.538], [0.761, 0.315, 0.521], [0.706, 0.685, 0.946], [0.239, 0.685, 0.479], [0.500, 0.000, 0.000], [0.000, 0.000, 0.500], [0.500, 0.000, 0.500], [0.000, 0.000, 0.000], [0.000, 0.500, 0.000], [0.500, 0.500, 0.500], [0.500, 0.500, 0.000], [0.000, 0.500, 0.500]]}

=====

(6)
{"formula": "La8SiRu3I4", "functional": "PBE-GGA", "state": "relaxed", "formation_energy_uncorrected_ev_per_atom": -0.83, "spacegroup": "R-3m (166)", "lattice_angstrom": [[-0.077, 7.973, 3.181], [-9.257, -0.936, 2.122], [5.326, -5.880, 3.281]], "species": ["La", "La", "La", "La", "La", "La", "La", "La", "I", "I", "I", "I", "Ru", "Ru", "Ru", "Si"], "frac_coords": [[0.765, 0.318, 0.530], [0.235, 0.682, 0.947], [0.765, 0.318, 0.053], [0.732, 0.697, 0.465], [0.268, 0.303, 0.535], [0.712, 0.682, 0.947], [0.235, 0.682, 0.470], [0.288, 0.318, 0.053], [0.500, 0.000, 0.500], [0.500, 0.000, 0.000], [0.000, 0.000, 0.000], [0.000, 0.000, 0.500], [0.500, 0.500, 0.500], [0.500, 0.500, 0.000], [0.000, 0.500, 0.500], [0.000, 0.500, 0.000]]}

=====

(7)
{"formula": "La6SnRu2I3", "functional": "PBE-GGA", "state": "relaxed", "formation_energy_uncorrected_ev_per_atom": -0.84, "spacegroup": "C2/m (12)", "lattice_angstrom": [[7.576, -0.008, -0.018], [-3.793, 6.559, -0.018], [-1.281, -2.219, 8.200]], "species": ["La", "La", "La", "La", "La", "La", "I", "I", "I", "Sn", "Ru", "Ru"], "frac_coords": [[0.056, 0.428, 0.193], [0.306, 0.306, 0.808], [0.944, 0.572, 0.807], [0.694, 0.694, 0.192], [0.428, 0.056, 0.193], [0.572, 0.944, 0.807], [0.159, 0.841, 0.500], [0.500, 0.500, 0.500], [0.841, 0.159, 0.500], [0.000, 0.000, 0.000], [0.667, 0.333, 0.000], [0.333, 0.667, 0.000]]}

=====

(8)
{"formula": "La8SnRu3I4", "functional": "PBE-GGA", "state": "relaxed", "formation_energy_uncorrected_ev_per_atom": -0.81, "spacegroup": "R-3m (166)", "lattice_angstrom": [[8.723, 0.000, 0.000], [0.000, 9.562, 0.596], [-4.361, -4.363, 6.167]], "species": ["La", "La", "La", "La", "La", "La", "La", "La", "I", "I", "I", "I", "Ru", "Ru", "Ru", "Sn"], "frac_coords": [[0.757, 0.315, 0.515], [0.243, 0.684, 0.942], [0.301, 0.316, 0.058], [0.268, 0.303, 0.535], [0.732, 0.697, 0.465], [0.699, 0.684, 0.942], [0.757, 0.316, 0.058], [0.243, 0.685, 0.485], [0.000, 0.000, 0.000], [0.500, 0.000, 0.000], [0.000, 0.000, 0.500], [0.500, 0.000, 0.500], [0.500, 0.500, 0.500], [0.000, 0.500, 0.500], [0.500, 0.500, 0.000], [0.000, 0.500, 0.000]]}

=====

(9)
{"formula": "SrLa2RuI", "functional": "PBE-GGA", "state": "relaxed", "formation_energy_uncorrected_ev_per_atom": -0.41, "spacegroup": "P4/mmm (123)", "lattice_angstrom": [[5.359, 0.000, 0.000], [0.000, 5.359, 0.000], [0.000, 0.000, 6.535]], "species": ["La", "La", "Ru", "I", "Sr"], "frac_coords": [[0.000, 0.500, 0.000], [0.500, 0.000, 0.000], [0.000, 0.000, 0.000], [0.500, 0.500, 0.500], [0.000, 0.000, 0.500]]}

=====

(10)
{"formula": "La8TcRu3I4", "functional": "PBE-GGA", "state": "relaxed", "formation_energy_uncorrected_ev_per_atom": -0.67, "spacegroup": "R-3m (166)", "lattice_angstrom": [[-2.672, -2.478, 7.665], [9.055, -1.019, 2.828], [-2.184, 7.635, -2.992]], "species": ["I", "I", "I", "I", "Ru", "Ru", "Ru", "La", "La", "La", "La", "La", "La", "La", "La", "Tc"], "frac_coords": [[0.000, 0.000, 0.500], [0.500, 0.000, 0.500], [0.000, 0.000, 0.000], [0.500, 0.000, 0.000], [0.500, 0.500, 0.000], [0.000, 0.500, 0.500], [0.500, 0.500, 0.500], [0.273, 0.318, 0.545], [0.773, 0.315, 0.546], [0.227, 0.685, 0.958], [0.773, 0.315, 0.042], [0.727, 0.682, 0.455], [0.227, 0.685, 0.454], [0.731, 0.685, 0.958], [0.269, 0.315, 0.042], [0.000, 0.500, 0.000]]}

=====

(11)
{"formula": "La6TcRu2I3", "functional": "PBE-GGA", "state": "relaxed", "formation_energy_uncorrected_ev_per_atom": -0.64, "spacegroup": "C2/m (12)", "lattice_angstrom": [[7.355, -0.001, 0.001], [-3.676, 6.370, 0.001], [-1.226, -2.124, 8.185]], "species": ["I", "I", "I", "Ru", "Ru", "Tc", "La", "La", "La", "La", "La", "La"], "frac_coords": [[0.500, 0.500, 0.500], [0.835, 0.165, 0.500], [0.165, 0.835, 0.500], [0.667, 0.333, 0.000], [0.333, 0.667, 0.000], [0.000, 0.000, 0.000], [0.729, 0.729, 0.184], [0.939, 0.607, 0.816], [0.393, 0.061, 0.184], [0.607, 0.939, 0.816], [0.271, 0.271, 0.816], [0.061, 0.393, 0.184]]}

=====

(12)
{"formula": "LaTeRuI2", "functional": "PBE-GGA", "state": "relaxed", "formation_energy_uncorrected_ev_per_atom": 0.34, "spacegroup": "P4/mmm (123)", "lattice_angstrom": [[6.194, 0.000, 0.000], [0.000, 6.194, 0.000], [0.000, 0.000, 6.242]], "species": ["Te", "La", "I", "I", "Ru"], "frac_coords": [[0.000, 0.000, 0.500], [0.000, 0.000, 0.000], [0.000, 0.500, 0.000], [0.500, 0.000, 0.000], [0.500, 0.500, 0.500]]}